# 1
Crystalline TbAl4Zn at its relaxed geometry. Source: the Alexandria database, functional PBE.

Unit cell a=4.2088 b=12.7223 c=4.1981 alpha=90.00 beta=90.00 gamma=90.00
Last column: nearest neighbours and their distance in Å.
Space group Cmmm (No. 65)
One atom of each set of equivalent atoms:
Tb  0.0000  0.0000  0.0000 (multiplicity 2)  4 Zn 2.97, 8 Al 3.06-3.09
Al  0.0000  0.1751  0.5000 (multiplicity 4)  8 Al 2.81-2.97, 2 Tb 3.06, 2 Zn 3.06
Al  0.0000  0.3223  0.0000 (multiplicity 4)  8 Al 2.80-2.97, 2 Zn 3.08, 2 Tb 3.09
Zn  0.0000  0.5000  0.5000 (multiplicity 2)  4 Tb 2.97, 8 Al 3.06-3.08

Output
The calculation puts the formation energy from the elements at -210 meV/atom.

# 2
Crystalline Rb3Ga5Au2 at its relaxed geometry. Source: the Alexandria database, functional PBE.

Unit cell a=11.3210 b=14.1066 c=6.7784 alpha=90.00 beta=90.00 gamma=90.00
Last column: nearest neighbours and their distance in Å.
Space group Ibam (No. 72)
One atom of each set of equivalent atoms:
Rb  0.0000  0.0000  0.2500 (multiplicity 4)  4 Au 3.34, 6 Rb 3.39-3.74, 2 Ga 3.69
Rb  0.2463  0.3806  0.0000 (multiplicity 8)  1 Au 3.23
Ga  0.0000  0.2619  0.2500 (multiplicity 8)  2 Au 2.76, 2 Ga 2.77
Ga  0.0000  0.5000  0.2500 (multiplicity 4)  4 Ga 2.77
Ga  0.1243  0.3813  0.5000 (multiplicity 8)  1 Au 2.64, 4 Ga 2.77
Au  0.1497  0.1650  0.0000 (multiplicity 8)  3 Ga 2.64-2.76

Output
The calculation puts the formation energy from the elements at -159 meV/atom.

# 3
Crystalline ScSiP2 at its relaxed geometry. Source: the Alexandria database, functional PBE.

Unit cell a=3.5572 b=3.5188 c=5.5937 alpha=90.00 beta=106.05 gamma=90.00
Last column: nearest neighbours and their distance in Å.
Space group P2/m (No. 10)
One atom of each set of equivalent atoms:
Sc  0.0000  0.0000  0.0000 (multiplicity 1)  8 P 2.73-2.79, 2 Si 2.87
Si  0.5000  0.0000  0.5000 (multiplicity 1)  4 P 2.47
P  0.3938  0.5000  0.7840 (multiplicity 2)  1 P 2.32, 2 Si 2.47

Output
As for the uncorrected formation energy: -0.409 eV per atom.

# 4
Crystalline BeGeAs2 at its relaxed geometry. Source: the Alexandria database, functional PBE.

Unit cell a=3.8219 b=3.8219 c=21.1492 alpha=90.00 beta=90.00 gamma=120.00
Last column: nearest neighbours and their distance in Å.
Space group R-3m (No. 166, hexagonal axes)
One atom of each set of equivalent atoms:
Be  0.0000  0.0000  0.0000 (multiplicity 3)  2 As 2.11
Ge  0.0000  0.0000  0.5000 (multiplicity 3)  6 As 2.62
As  0.0000  0.0000  0.0999 (multiplicity 6)  1 Be 2.11

Output
The calculation puts the formation energy from the elements at 411 meV/atom.

# 5
Crystalline ReHg2Te at its relaxed geometry. Source: the Alexandria database, functional PBE.

Unit cell a=10.5918 b=10.5918 c=5.0211 alpha=90.00 beta=90.00 gamma=90.00
Last column: nearest neighbours and their distance in Å.
Space group I4_1/amd (No. 141, origin choice 2)
One atom of each set of equivalent atoms:
Re  0.0000  0.2500  0.3750 (multiplicity 4)  2 Te 2.51, 4 Hg 2.72
Hg  0.0000  0.0000  0.5000 (multiplicity 8)  2 Re 2.72
Te  0.0000  0.2500  0.8750 (multiplicity 4)  2 Re 2.51

Output
For the energy above the most stable polymorph in this dataset, the calculation gives 245 meV per atom. As for the uncorrected formation energy: 0.650 eV per atom.

# 6
Crystalline Y2SiGe2 at its relaxed geometry. Source: the Alexandria database, functional PBE.

Unit cell a=7.1153 b=7.1153 c=4.2493 alpha=90.00 beta=90.00 gamma=90.00
Last column: nearest neighbours and their distance in Å.
Space group P4/mbm (No. 127)
One atom of each set of equivalent atoms:
Y  0.1785  0.3215  0.0000 (multiplicity 4)  6 Ge 2.89-3.06
Si  0.0000  0.0000  0.5000 (multiplicity 2)  4 Ge 2.80
Ge  0.1271  0.6271  0.5000 (multiplicity 4)  1 Ge 2.56, 2 Si 2.80

Output
As for the uncorrected formation energy: -0.628 eV per atom.

# 7
Crystalline In4Se2S5 at its relaxed geometry. Source: the Alexandria database, functional PBE.

Unit cell a=3.7884 b=8.1787 c=19.0609 alpha=90.00 beta=90.00 gamma=90.00
Last column: nearest neighbours and their distance in Å.
Space group Immm (No. 71)
One atom of each set of equivalent atoms:
In  0.0000  0.0000  0.1934 (multiplicity 4)  4 S 2.62, 1 Se 2.63
In  0.0000  0.2336  0.5000 (multiplicity 4)  4 S 2.69-2.93
Se  0.0000  0.0000  0.3316 (multiplicity 4)  2 S 2.49, 1 In 2.63
S  0.0000  0.3018  0.3491 (multiplicity 8)  1 Se 2.49, 2 In 2.62
S  0.0000  0.5000  0.0000 (multiplicity 2)  4 In 2.69

Output
As for the uncorrected formation energy: -0.183 eV per atom.

# 8
Crystalline SrPr2Nd3Se6 at its relaxed geometry. Source: the Alexandria database, functional PBE.

Unit cell a=7.3824 b=12.8123 c=7.4049 alpha=90.00 beta=109.38 gamma=90.00
Last column: nearest neighbours and their distance in Å.
Space group C2/m (No. 12)
One atom of each set of equivalent atoms:
Sr  0.0000  0.0000  0.0000 (multiplicity 2)  6 Se 3.03-3.05
Pr  0.0000  0.3328  0.0000 (multiplicity 4)  6 Se 3.03-3.04
Nd  0.0000  0.1654  0.5000 (multiplicity 4)  6 Se 3.00-3.01
Nd  0.0000  0.5000  0.5000 (multiplicity 2)  6 Se 3.00-3.01
Se  0.2479  0.3330  0.7448 (multiplicity 8)  3 Nd 3.00-3.01, 2 Pr 3.04, 1 Sr 3.05
Se  0.2503  0.0000  0.7486 (multiplicity 4)  3 Nd 3.01, 1 Sr 3.03, 2 Pr 3.03

Output
As for the uncorrected formation energy: -1.862 eV per atom.

# 9
Crystalline Ac2LaSmSe4 at its relaxed geometry. Source: the Alexandria database, functional PBE.

Unit cell a=7.5338 b=4.3169 c=7.6007 alpha=90.00 beta=109.08 gamma=90.00
Last column: nearest neighbours and their distance in Å.
Space group P2/m (No. 10)
One atom of each set of equivalent atoms:
Ac  0.0000  0.0000  0.0000 (multiplicity 1)  6 Se 3.17
Ac  0.5000  0.5000  0.0000 (multiplicity 1)  6 Se 3.12-3.13
La  0.0000  0.5000  0.5000 (multiplicity 1)  6 Se 3.04
Sm  0.5000  0.0000  0.5000 (multiplicity 1)  6 Se 2.99-3.00
Se  0.2501  0.0000  0.7363 (multiplicity 2)  1 Sm 3.00, 2 La 3.04, 3 Ac 3.12-3.17
Se  0.2604  0.5000  0.2669 (multiplicity 2)  2 Sm 2.99, 1 La 3.04, 3 Ac 3.13-3.17

Output
As for the uncorrected formation energy: -1.879 eV per atom.

# 10
Crystalline Er3GaPd at its relaxed geometry. Source: the Alexandria database, functional PBE.

Unit cell a=11.7749 b=10.7781 c=7.9371 alpha=90.00 beta=90.29 gamma=90.00
Last column: nearest neighbours and their distance in Å.
Space group C2/c (No. 15)
One atom of each set of equivalent atoms:
Er  0.0963  0.1012  0.4174 (multiplicity 8)  2 Pd 2.93-2.96, 2 Ga 2.95-3.12
Er  0.1016  0.4025  0.5832 (multiplicity 8)  2 Pd 2.96-3.00, 3 Ga 2.97-3.29
Er  0.2501  0.1741  0.7986 (multiplicity 8)  3 Pd 2.87-2.93, 2 Ga 2.97
Ga  0.0000  0.1632  0.7500 (multiplicity 4)  6 Er 2.95-3.14
Ga  0.0000  0.3418  0.2500 (multiplicity 4)  8 Er 2.97-3.29
Pd  0.2437  0.0596  0.1266 (multiplicity 8)  7 Er 2.87-3.00

Output
The calculation puts the formation energy from the elements at -489 meV/atom.

# 11
Crystalline Pr6HN2Cl3 at its relaxed geometry. Source: the Alexandria database, functional PBE.

Unit cell a=6.5237 b=11.1954 c=7.4460 alpha=90.00 beta=107.00 gamma=90.00
Last column: nearest neighbours and their distance in Å.
Space group C2/m (No. 12)
One atom of each set of equivalent atoms:
Pr  0.2108  0.0000  0.1943 (multiplicity 4)  2 N 2.51, 1 H 2.69
Pr  0.2396  0.3250  0.1949 (multiplicity 8)  2 N 2.52-2.54, 1 H 2.66
H  0.0000  0.5000  0.0000 (multiplicity 2)  6 Pr 2.66-2.69
N  0.0000  0.1669  0.0000 (multiplicity 4)  6 Pr 2.51-2.54
Cl  0.0000  0.0000  0.5000 (multiplicity 2)  6 Pr 2.98-3.10
Cl  0.0000  0.3342  0.5000 (multiplicity 4)  6 Pr 2.99-3.11

no.,calculated volume (Å³/cell),DFT total energy (eV per cell)
1,224.79,-44.27
2,1082.51,-104.74
3,67.29,-24.21
4,267.54,-48.00
5,563.29,-54.37
6,215.13,-61.45
7,590.59,-81.16
8,660.72,-137.59
9,233.62,-46.84
10,1007.30,-194.83
11,520.07,-138.77